1.
4
Lattice="1.4080 0.8129 8.0618 -1.4080 0.8129 8.0618 0.0000 -1.6259 8.0618" Properties=species:S:1:pos:R:3 comment="TcPRh2 | Alexandria via LeMat-Bulk | PBE | optimized geometry" volume_a3_per_fu=55.4 e_form_ev_per_atom=-0.1685 total_energy_ev_per_atom=-7.79 m_tot_mub_per_cell=0.00 pbc="T T T"
Tc 0.0000 0.0000 0.0000
P 0.0000 0.0000 17.9462
Rh 0.0000 0.0000 5.9221
Rh 0.0000 0.0000 11.6550

---

2.
9
Lattice="8.1475 -2.8388 0.0000 8.1475 2.8388 0.0000 -2.0246 0.0000 5.6613" Properties=species:S:1:pos:R:3 comment="Tm2Sc2Te5 | Alexandria via LeMat-Bulk | PBE | optimized geometry" volume_a3_per_fu=261.9 formation_energy_uncorrected_ev_per_fu=-9.2 total_energy_ev_per_atom=-5.17 m_tot_mub_per_cell=0.00 pbc="T T T"
Tm 1.1169 0.0000 1.7916
Tm 13.1536 0.0000 3.8697
Sc 5.2586 0.0000 0.2006
Sc 9.0118 0.0000 5.4607
Te 0.4281 0.0000 4.7820
Te 4.0230 0.0000 2.9393
Te 8.1475 0.0000 0.0000
Te 10.2474 0.0000 2.7220
Te 13.8423 0.0000 0.8793

---

3.
4
Lattice="3.8350 -1.5527 0.0000 3.8350 1.5527 0.0000 -2.5184 0.0000 6.0980" Properties=species:S:1:pos:R:3 comment="MnGaPCl | Alexandria via LeMat-Bulk | PBE | optimized geometry" volume_a3_per_fu=72.6 formation_energy_uncorrected_ev_per_fu=-0.8 total_energy_ev_per_atom=-5.06 m_tot_mub_per_cell=0.00 de_polymorph_ev_per_atom=0.052 pbc="T T T"
Mn 0.0000 0.0000 0.0000
Ga 0.8824 0.0000 4.3199
P 2.8693 0.0000 6.0803
Cl -0.4131 0.0000 2.4199

---

4.
20
Lattice="8.0697 4.6590 3.5417 -8.0697 4.6590 3.5417 0.0000 -9.3181 3.5417" Properties=species:S:1:pos:R:3 comment="Sm7SnI12 | Alexandria via LeMat-Bulk | PBE | optimized geometry" volume_a3_per_fu=798.9 formation_energy_uncorrected_ev_per_fu=-24.8 total_energy_ev_per_atom=-4.02 m_tot_mub_per_cell=0.00 pbc="T T T"
Sm 0.0000 0.0000 0.0000
Sm -2.3362 -0.6870 3.6189
Sm 1.7631 -1.6798 3.6189
Sm 0.5732 2.3667 3.6189
Sm -0.5732 -2.3667 7.0061
Sm -1.7631 1.6797 7.0061
Sm 2.3362 0.6870 7.0061
Sn 0.0000 0.0000 5.3125
I -0.6375 -2.5706 1.7007
I -1.9075 1.8374 1.7007
I -3.1341 -3.2328 5.3178
I -4.3667 1.0978 5.3072
I 2.5450 0.7332 1.7007
I 1.2326 -4.3306 5.3072
I -1.2326 4.3306 5.3178
I -2.5450 -0.7332 8.9243
I 4.3667 -1.0978 5.3178
I 3.1341 3.2328 5.3072
I 1.9075 -1.8374 8.9243
I 0.6375 2.5706 8.9243

---

5.
12
Lattice="-3.6501 3.6501 6.3679 3.6501 -3.6501 6.3679 3.6501 3.6501 -6.3679" Properties=species:S:1:pos:R:3 comment="KNaAg2Cl8 | Alexandria via LeMat-Bulk | PBE | optimized geometry" volume_a3_per_fu=339.4 formation_energy_uncorrected_ev_per_fu=-8.7 total_energy_ev_per_atom=-2.64 m_tot_mub_per_cell=0.00 pbc="T T T"
K 0.0000 0.0000 0.0000
Na 3.6501 0.0000 3.1840
Ag 0.0000 0.0000 6.3679
Ag 0.0000 3.6501 3.1840
Cl 4.2900 2.2627 -3.3436
Cl 3.1887 1.3501 0.2228
Cl 2.3000 -0.4613 6.1451
Cl -0.6399 1.3873 3.0243
Cl 1.3501 4.1114 -0.2228
Cl 2.2627 3.0102 3.3436
Cl 0.4613 2.3000 6.5907
Cl 1.3873 0.6399 9.7115

---

6.
12
Lattice="3.9843 -6.9013 0.0000 3.9843 6.9013 0.0000 -2.6448 0.0000 8.4475" Properties=species:S:1:pos:R:3 comment="Rb3LiCe2Te6 | Alexandria via LeMat-Bulk | PBE | optimized geometry" volume_a3_per_fu=464.6 formation_energy_uncorrected_ev_per_fu=-14.0 total_energy_ev_per_atom=-4.13 m_tot_mub_per_cell=0.00 pbc="T T T"
Rb 0.0000 0.0000 0.0000
Rb 3.9843 2.2483 0.0000
Rb 3.9843 -2.2483 0.0000
Li 2.6619 0.0000 4.2238
Ce 2.6619 4.5956 4.2238
Ce 2.6619 -4.5956 4.2238
Te 1.2986 2.3573 2.5589
Te -0.0507 0.0000 5.8728
Te 1.2986 -2.3573 2.5589
Te 4.0253 2.3573 5.8886
Te 5.3746 0.0000 2.5747
Te 4.0253 -2.3573 5.8886